NaVCdO4 PBE+U optimized geometry; total moment = 0.0 μB per formula unit; crystal system = orthorhombic; DFT total energy = -5.8990 eV/atom; energy above the most stable polymorph in this dataset = 49 meV per atom
1.0
3.108 -4.774 0.000
3.108 4.774 0.000
0.000 0.000 6.860
Na V Cd O
2 2 2 8
Direct
0.000 0.000 0.000
0.000 0.000 0.500
0.360 0.640 0.750
0.640 0.360 0.250
0.327 0.673 0.250
0.673 0.327 0.750
0.246 0.306 0.750
0.252 0.748 0.544
0.252 0.748 0.956
0.306 0.246 0.250
0.694 0.754 0.750
0.748 0.252 0.044
0.748 0.252 0.456
0.754 0.694 0.250